1.
Density functional theory data (PBE) for an optimized crystal structure of SBrO2F.

a b c (Å): 3.813 3.813 5.542
angles (deg): 90.00 90.00 90.00
Space group P4/mmm (No. 123)
Unique sites:
S (0.000, 0.000, 0.000) [1 per cell]
Br (0.500, 0.500, 0.500) [1 per cell]
O (0.000, 0.500, 0.500) [2 per cell]
F (0.500, 0.500, 0.000) [1 per cell]

Values from the calculation:
N(E_F) = 2.38 states/eV/cell
Density = 3.36 g cm⁻³
Magnetization = 2.80 μB per cell
Formation energy without anion corrections = 0.77 eV/atom
Total energy = -0.20230 Ry/atom

2.
Density functional theory data (PBE) for an optimized crystal structure of OsAu2Cl.

a b c (Å): 2.795 4.215 12.716
angles (deg): 90.00 90.00 90.00
Space group Immm (No. 71)
Unique sites:
Os (0.000, 0.000, 0.000) [2 per cell]
Au (0.000, 0.500, 0.308) [4 per cell]
Cl (0.000, 0.000, 0.500) [2 per cell]

Values from the calculation:
N(E_F) = 3.94 states/eV/cell
Density = 13.74 g cm⁻³
Magnetization = 0.00 μB per cell
Relative energy among the computed polymorphs = 187.4 meV/atom
Formation energy without anion corrections = 0.68 eV/atom
Total energy = -0.31039 Ry/atom

3.
Density functional theory data (PBE) for an optimized crystal structure of In2RuW.

a b c (Å): 3.020 3.020 8.444
angles (deg): 90.00 90.00 90.00
Space group P4mm (No. 99)
Unique sites:
In (0.000, 0.000, 0.000) [1 per cell]
In (0.500, 0.500, 0.333) [1 per cell]
Ru (0.000, 0.000, 0.570) [1 per cell]
W (0.500, 0.500, 0.747) [1 per cell]

Values from the calculation:
Energy of formation = 0.192 eV/atom
N(E_F) = 2.92 states/eV/cell
Density = 11.09 g cm⁻³
Magnetization = 0.00 μB per cell
Relative energy among the computed polymorphs = 0.0 meV/atom
Total energy = -0.49498 Ry/atom

4.
Density functional theory data (PBE) for an optimized crystal structure of Rh3AuI.

a b c (Å): 4.811 4.811 4.811
angles (deg): 90.00 90.00 90.00
Space group Pm-3m (No. 221)
Unique sites:
Rh (0.000, 0.000, 0.500) [3 per cell]
Au (0.500, 0.500, 0.500) [1 per cell]
I (0.000, 0.000, 0.000) [1 per cell]

Values from the calculation:
N(E_F) = 5.79 states/eV/cell
Density = 9.43 g cm⁻³
Magnetization = 0.00 μB per cell
Relative energy among the computed polymorphs = 0.0 meV/atom
Formation energy without anion corrections = 1.18 eV/atom
Total energy = -0.30864 Ry/atom